Zn3Ag, optimized geometry, DFT GGA-PBEsol; space group = No. 25; energy of formation = -52 meV per atom
1.0
2.8468 0.0000 0.0000
0.0000 4.3421 0.0000
0.0000 0.0000 4.6994
Zn Ag
3 1
Cartesian
0.0000 0.0000 0.0000
0.0000 2.1711 1.5618
1.4234 2.1711 3.9698
1.4234 0.0000 2.3636